A plane-wave DFT calculation with PBE with a Hubbard U was carried out for a relaxed SrNiO crystal.

Cell lengths 3.5997, 3.7425, 8.0658 Å; angles 90.00, 102.84, 90.00 degrees
Fractional coordinates of all 6 atoms:
Sr 0.1656 0.2500 0.3307
Sr 0.8344 0.7500 0.6693
Ni 0.4528 0.2500 0.9061
Ni 0.5472 0.7500 0.0939
O 0.3232 0.2500 0.6471
O 0.6768 0.7500 0.3529

Summary:
- Spin magnetization: 2.07 μB per cell
- VASP energy: -4.362 eV/atom
- SG: P2_1/m